{
  "formula": "SrMnIn4O8",
  "functional": "PBE+U",
  "state": "relaxed",
  "magnetic_moment_mub_per_cell": 4.97,
  "spacegroup": "R3m, No. 160",
  "n_ef_per_ev_fu": 1.93,
  "e_tot_ev_per_cell": -83.8,
  "lattice": [[3.330, 1.923, 5.379], [-3.330, 1.923, 5.379], [0.000, -3.845, 5.379]],
  "species": ["Sr", "Mn", "In", "In", "In", "In", "O", "O", "O", "O", "O", "O", "O", "O"],
  "frac_coords": [[0.000, 0.000, 0.000], [0.375, 0.375, 0.375], [0.376, 0.376, 0.886], [0.376, 0.886, 0.376], [0.758, 0.758, 0.758], [0.886, 0.376, 0.376], [0.143, 0.143, 0.143], [0.145, 0.145, 0.575], [0.145, 0.575, 0.145], [0.155, 0.623, 0.623], [0.575, 0.145, 0.145], [0.622, 0.622, 0.622], [0.623, 0.155, 0.623], [0.623, 0.623, 0.155]]
}